A PBEsol-optimized structure of BaWN3. Source: Alexandria via LeMat-Bulk, functional meta-GGA SCAN.

Lattice parameters (Å, degrees): 7.5353 5.7267 9.9573 90.00 130.33 90.00
Element x y z (fractional)
1 Ba 0.2080 0.2359 0.3669
2 Ba 0.2080 0.2641 0.8669
3 Ba 0.7920 0.7359 0.1331
4 Ba 0.7920 0.7641 0.6331
5 W 0.3430 0.7390 0.6402
6 W 0.3430 0.7610 0.1402
7 W 0.6570 0.2390 0.8598
8 W 0.6570 0.2610 0.3598
9 N 0.0813 0.5654 0.5697
10 N 0.0813 0.9346 0.0697
11 N 0.2991 0.7476 0.9414
12 N 0.2991 0.7524 0.4414
13 N 0.3716 0.0660 0.7027
14 N 0.3716 0.4340 0.2027
15 N 0.6284 0.5660 0.7973
16 N 0.6284 0.9340 0.2973
17 N 0.7009 0.2476 0.5586
18 N 0.7009 0.2524 0.0586
19 N 0.9187 0.0654 0.9303
20 N 0.9187 0.4346 0.4303

Electronic total energy ... -28.1897 eV per atom
Formation energy without anion corrections ... -767.3 meV/atom
Total magnetic moment ... 0.00 Bohr magnetons per cell
Space-group type ... P2_1/c